1.
# PBE LiCd7In3, relaxed
data_LiCd7In3
_chemical_formula_sum 'Li2 Cd14 In6'
_cell_length_a 11.220
_cell_length_b 9.964
_cell_length_c 5.727
_cell_angle_alpha 90.00
_cell_angle_beta 119.04
_cell_angle_gamma 90.00
_symmetry_space_group_name_H-M 'C 1 2/m 1'
_symmetry_Int_Tables_number 12
loop_
_symmetry_equiv_pos_as_xyz
'x,y,z'
'-x,-y,-z'
'-x,y,-z'
'x,-y,z'
'x+1/2,y+1/2,z'
'-x+1/2,-y+1/2,-z'
'-x+1/2,y+1/2,-z'
'x+1/2,-y+1/2,z'
loop_
_atom_site_label
_atom_site_fract_x
_atom_site_fract_y
_atom_site_fract_z
Li1 0.000 0.000 0.000
Cd1 0.000 0.000 0.500
Cd2 0.171 0.246 0.147
Cd3 0.245 0.500 0.533
In1 0.000 0.317 0.500
In2 0.000 0.500 0.000
# **Formation energy from the elements**: 0.04 eV per atom
# **Spin magnetization**: 0.000 Bohr magnetons per cell

2.
# PBE SrGa2Os, relaxed
data_SrGa2Os
_chemical_formula_sum 'Sr4 Ga8 Os4'
_cell_length_a 5.212
_cell_length_b 5.212
_cell_length_c 16.152
_cell_angle_alpha 90.00
_cell_angle_beta 90.00
_cell_angle_gamma 90.00
_symmetry_space_group_name_H-M 'I 41/a m d'
_symmetry_Int_Tables_number 141
loop_
_symmetry_equiv_pos_as_xyz
'x,y,z'
'-x,-y,-z'
'-y+1/4,x+3/4,z+1/4'
'y+1/4,-x+3/4,-z+1/4'
'-x+1/2,-y,z+1/2'
'x+1/2,y,-z+1/2'
'y+1/4,-x+1/4,z+3/4'
'-y+1/4,x+1/4,-z+3/4'
'x,-y,-z'
'-x,y,z'
'-y+1/4,-x+1/4,-z+3/4'
'y+1/4,x+1/4,z+3/4'
'-x+1/2,y,-z+1/2'
'x+1/2,-y,z+1/2'
'y+1/4,x+3/4,-z+1/4'
'-y+1/4,-x+3/4,z+1/4'
'x+1/2,y+1/2,z+1/2'
'-x+1/2,-y+1/2,-z+1/2'
'-y+3/4,x+1/4,z+3/4'
'y+3/4,-x+1/4,-z+3/4'
'-x,-y+1/2,z'
'x,y+1/2,-z'
'y+3/4,-x+3/4,z+1/4'
'-y+3/4,x+3/4,-z+1/4'
'x+1/2,-y+1/2,-z+1/2'
'-x+1/2,y+1/2,z+1/2'
'-y+3/4,-x+3/4,-z+1/4'
'y+3/4,x+3/4,z+1/4'
'-x,y+1/2,-z'
'x,-y+1/2,z'
'y+3/4,x+1/4,-z+3/4'
'-y+3/4,-x+1/4,z+3/4'
loop_
_atom_site_label
_atom_site_fract_x
_atom_site_fract_y
_atom_site_fract_z
Sr1 0.000 0.250 0.375
Ga1 0.000 0.000 0.000
Os1 0.000 0.250 0.875
# **Formation energy from the elements**: 0.04 eV per atom
# **Spin magnetization**: 0.000 Bohr magnetons per cell

3.
# PBE RhAu3Cl, relaxed
data_RhAu3Cl
_chemical_formula_sum 'Rh1 Au3 Cl1'
_cell_length_a 4.783
_cell_length_b 4.783
_cell_length_c 4.783
_cell_angle_alpha 90.00
_cell_angle_beta 90.00
_cell_angle_gamma 90.00
_symmetry_space_group_name_H-M 'P m -3 m'
_symmetry_Int_Tables_number 221
_symmetry_space_group_name_Hall '-P 4 2 3'
loop_
_atom_site_label
_atom_site_fract_x
_atom_site_fract_y
_atom_site_fract_z
Rh1 0.000 0.000 0.000
Au1 0.000 0.500 0.500
Cl1 0.500 0.500 0.500
# **Energy above the lowest structure with this stoichiometry**: 284 meV/atom
# **Formation energy (no corrections)**: 1252 meV/atom
# **Spin magnetization**: 0.000 Bohr magnetons per cell

4.
# PBE HgTeIr2, relaxed
data_HgTeIr2
_chemical_formula_sum 'Hg2 Te2 Ir4'
_cell_length_a 12.425
_cell_length_b 2.955
_cell_length_c 4.736
_cell_angle_alpha 90.00
_cell_angle_beta 102.02
_cell_angle_gamma 90.00
_symmetry_space_group_name_H-M 'C 1 m 1'
_symmetry_Int_Tables_number 8
loop_
_symmetry_equiv_pos_as_xyz
'x,y,z'
'x,-y,z'
'x+1/2,y+1/2,z'
'x+1/2,-y+1/2,z'
loop_
_atom_site_label
_atom_site_fract_x
_atom_site_fract_y
_atom_site_fract_z
Hg1 0.000 0.000 0.000
Te1 0.231 0.000 0.690
Ir1 0.044 0.500 0.521
Ir2 0.358 0.500 0.418
# **Energy above the lowest structure with this stoichiometry**: 42 meV/atom
# **Formation energy (no corrections)**: 450 meV/atom
# **Spin magnetization**: 0.000 Bohr magnetons per cell

Look up the spin magnetization of the fourth one.
0.000 Bohr magnetons per cell